1.
The following is a PBE calculation of an optimized crystal structure of RbTiAlN2, from Alexandria.

a = 4.1402 Å, b = 4.1402 Å, c = 5.5434 Å
α = 90.00°, β = 90.00°, γ = 90.00°
Sites, in units of the cell vectors:
Rb 0.0000 0.0000 0.0000
Ti 0.0000 0.0000 0.5000
Al 0.5000 0.5000 0.0000
N 0.0000 0.5000 0.5000
N 0.5000 0.0000 0.5000

The calculation puts the uncorrected energy at -23.9 eV per cell. For the density of states at the Fermi level, the calculation gives 0.8818 states/eV per atom. The magnetic moment is 0.00 μB/cell.

=====

2.
The following is a PBE calculation of an optimized crystal structure of Pr2DyTmO6, from Alexandria.

a = 6.1282 Å, b = 6.1282 Å, c = 6.1282 Å
α = 58.21°, β = 58.21°, γ = 58.21°
Sites, in units of the cell vectors:
Pr 0.0000 0.0000 0.0000
Pr 0.4994 0.4994 0.4994
Dy 0.2230 0.2230 0.2230
Tm 0.7216 0.7216 0.7216
O 0.0857 0.4280 0.8468
O 0.3501 0.9227 0.5908
O 0.4280 0.8468 0.0857
O 0.5908 0.3501 0.9227
O 0.8468 0.0857 0.4280
O 0.9227 0.5908 0.3501

The calculation puts the uncorrected energy at -82.7 eV per cell. For the density of states at the Fermi level, the calculation gives 0.0000 states/eV per atom. The magnetic moment is 0.00 μB/cell.

=====

3.
The following is a PBE calculation of an optimized crystal structure of Ho3AuS2, from Alexandria.

a = 6.8240 Å, b = 6.8240 Å, c = 10.3827 Å
α = 90.00°, β = 90.00°, γ = 143.87°
Sites, in units of the cell vectors:
Ho 0.1018 0.8982 0.7500
Ho 0.3566 0.6434 0.5567
Ho 0.3566 0.6434 0.9433
Ho 0.6434 0.3566 0.0567
Ho 0.6434 0.3566 0.4433
Ho 0.8982 0.1018 0.2500
Au 0.2438 0.7562 0.2500
Au 0.7562 0.2438 0.7500
S 0.0000 0.0000 0.0000
S 0.0000 0.0000 0.5000
S 0.4857 0.5143 0.7500
S 0.5143 0.4857 0.2500

The calculation puts the uncorrected energy at -66.6 eV per cell. For the density of states at the Fermi level, the calculation gives 0.5125 states/eV per atom. The magnetic moment is 0.00 μB/cell.

=====

4.
The following is a PBE calculation of an optimized crystal structure of SrCo2Mo, from Alexandria.

a = 4.7814 Å, b = 4.7814 Å, c = 2.8715 Å
α = 90.00°, β = 90.00°, γ = 90.00°
Sites, in units of the cell vectors:
Sr 0.0000 0.0000 0.0000
Co 0.0000 0.5000 0.5000
Co 0.5000 0.0000 0.5000
Mo 0.5000 0.5000 0.0000

The calculation puts the uncorrected energy at -23.6 eV per cell. For the density of states at the Fermi level, the calculation gives 1.0621 states/eV per atom. The formation energy from the elements comes out at 0.79 eV per atom. The magnetic moment is 1.54 μB/cell.

=====

5.
The following is a PBE calculation of an optimized crystal structure of Y2TeBr, from Alexandria.

a = 3.8600 Å, b = 3.8600 Å, c = 9.2025 Å
α = 90.00°, β = 90.00°, γ = 118.49°
Sites, in units of the cell vectors:
Y 0.0000 0.0000 0.2403
Y 0.0000 0.0000 0.7597
Te 0.5000 0.5000 0.0000
Br 0.5000 0.5000 0.5000

The calculation puts the uncorrected energy at -21.3 eV per cell. For the density of states at the Fermi level, the calculation gives 0.9344 states/eV per atom. The value obtained for the offset from the most stable computed form is 109.0 kJ/mol of formula units. The magnetic moment is 0.00 μB/cell.

=====

6.
The following is a PBE calculation of an optimized crystal structure of LaCo, from Alexandria.

a = 3.9919 Å, b = 3.9919 Å, c = 3.9919 Å
α = 60.10°, β = 60.10°, γ = 60.10°
Sites, in units of the cell vectors:
La 0.0000 0.0000 0.0000
Co 0.5000 0.5000 0.5000

The calculation puts the uncorrected energy at -11.7 eV per cell. For the density of states at the Fermi level, the calculation gives 1.1274 states/eV per atom. The formation energy from the elements comes out at 0.17 eV per atom. The magnetic moment is 0.00 μB/cell.

=====

7.
The following is a PBE calculation of an optimized crystal structure of NpTa2Fe, from Alexandria.

a = 2.9872 Å, b = 2.9872 Å, c = 7.7576 Å
α = 90.00°, β = 90.00°, γ = 90.00°
Sites, in units of the cell vectors:
Np 0.0000 0.0000 0.0000
Ta 0.5000 0.5000 0.2971
Ta 0.5000 0.5000 0.7029
Fe 0.0000 0.0000 0.5000

The calculation puts the uncorrected energy at -44.3 eV per cell. For the density of states at the Fermi level, the calculation gives 1.7671 states/eV per atom. The formation energy from the elements comes out at 0.19 eV per atom. The magnetic moment is 1.89 μB/cell.

=====

8.
The following is a PBE calculation of an optimized crystal structure of Zn2MoPb, from Alexandria.

a = 3.2121 Å, b = 3.7708 Å, c = 6.0151 Å
α = 90.00°, β = 90.00°, γ = 90.00°
Sites, in units of the cell vectors:
Zn 0.0000 0.0000 0.0000
Zn 0.5000 0.5000 0.2170
Mo 0.0000 0.0000 0.4370
Pb 0.5000 0.5000 0.7073

The calculation puts the uncorrected energy at -15.5 eV per cell. For the density of states at the Fermi level, the calculation gives 0.7478 states/eV per atom. The formation energy from the elements comes out at 0.41 eV per atom. The magnetic moment is 0.00 μB/cell.

=====

9.
The following is a PBE calculation of an optimized crystal structure of CuTeO5, from Alexandria.

a = 4.8546 Å, b = 7.5600 Å, c = 9.8057 Å
α = 90.00°, β = 90.00°, γ = 90.00°
Sites, in units of the cell vectors:
Cu 0.1329 0.1118 0.0664
Cu 0.3671 0.8882 0.5664
Cu 0.6329 0.3882 0.9336
Cu 0.8671 0.6118 0.4336
Te 0.2057 0.3164 0.6454
Te 0.2943 0.6836 0.1454
Te 0.7057 0.1836 0.3546
Te 0.7943 0.8164 0.8546
O 0.0026 0.8481 0.4707
O 0.0055 0.1715 0.7589
O 0.0073 0.1053 0.2529
O 0.1362 0.8572 0.0214
O 0.1916 0.4651 0.9917
O 0.3084 0.5349 0.4917
O 0.3638 0.1428 0.5214
O 0.4927 0.8947 0.7529
O 0.4945 0.8285 0.2589
O 0.4974 0.1519 0.9707
O 0.5026 0.6519 0.5293
O 0.5055 0.3285 0.2411
O 0.5073 0.3947 0.7471
O 0.6362 0.6428 0.9786
O 0.6916 0.0349 0.0083
O 0.8084 0.9651 0.5083
O 0.8638 0.3572 0.4786
O 0.9927 0.6053 0.2471
O 0.9945 0.6715 0.7411
O 0.9974 0.3481 0.0293

The calculation puts the uncorrected energy at -138.7 eV per cell. For the density of states at the Fermi level, the calculation gives 0.2458 states/eV per atom. The value obtained for the offset from the most stable computed form is 111.6 kJ/mol of formula units. The magnetic moment is 0.00 μB/cell.

=====

10.
The following is a PBE calculation of an optimized crystal structure of Be2Nb2Fe5Os, from Alexandria.

a = 8.5263 Å, b = 8.5263 Å, c = 3.2556 Å
α = 90.00°, β = 90.00°, γ = 90.00°
Sites, in units of the cell vectors:
Be 0.1164 0.3836 0.0000
Be 0.3836 0.8836 0.0000
Be 0.6164 0.1164 0.0000
Be 0.8836 0.6164 0.0000
Nb 0.1779 0.6779 0.0000
Nb 0.3221 0.1779 0.0000
Nb 0.6779 0.8221 0.0000
Nb 0.8221 0.3221 0.0000
Fe 0.0000 0.5000 0.5000
Fe 0.0667 0.2139 0.5000
Fe 0.2139 0.9333 0.5000
Fe 0.2861 0.4333 0.5000
Fe 0.4333 0.7139 0.5000
Fe 0.5000 0.0000 0.5000
Fe 0.5667 0.2861 0.5000
Fe 0.7139 0.5667 0.5000
Fe 0.7861 0.0667 0.5000
Fe 0.9333 0.7861 0.5000
Os 0.0000 0.0000 0.0000
Os 0.5000 0.5000 0.0000

The calculation puts the uncorrected energy at -163.7 eV per cell. For the density of states at the Fermi level, the calculation gives 1.0915 states/eV per atom. The formation energy from the elements comes out at -0.07 eV per atom. The magnetic moment is 8.86 μB/cell.

=====

11.
The following is a PBE calculation of an optimized crystal structure of Sb2PRh, from Alexandria.

a = 8.9876 Å, b = 8.9876 Å, c = 8.9876 Å
α = 21.60°, β = 21.60°, γ = 21.60°
Sites, in units of the cell vectors:
Sb 0.0000 0.0000 0.0000
Sb 0.2311 0.2311 0.2311
P 0.7693 0.7693 0.7693
Rh 0.4820 0.4820 0.4820

The calculation puts the uncorrected energy at -21.3 eV per cell. For the density of states at the Fermi level, the calculation gives 0.5172 states/eV per atom. The magnetic moment is 0.00 μB/cell.